Record 1
5
Lattice="4.5762 0.0000 0.0000 0.0000 4.7436 0.0000 0.0000 0.0000 4.7436" Properties=species:S:1:pos:R:3 comment="NaCaIr2Au, PBEsol geometry, DFT meta-GGA SCAN" e_form_ev_per_fu=8.6 energy_ev_per_atom=-43.32 pbc="T T T"
Na 2.2881 0.0000 0.0000
Ca 0.0000 0.0000 0.0000
Ir 0.0000 0.0000 2.3718
Ir 0.0000 2.3718 0.0000
Au 2.2881 2.3718 2.3718

=====

Record 2
32
Lattice="-2.9247 -0.9300 1.8707 5.3333 0.0643 8.3702 -2.7071 11.8010 1.6342" Properties=species:S:1:pos:R:3 comment="Zr2Ni3P3, PBEsol geometry, DFT meta-GGA SCAN" e_form_ev_per_fu=-9.0 energy_ev_per_atom=-18.77 pbc="T T T"
Zr -0.8980 2.2310 1.4316
Zr 0.5994 8.7044 10.4436
Zr 0.0808 2.7813 6.6883
Zr -0.3794 8.1541 5.1870
Zr -1.2080 5.6262 2.6348
Zr 0.9094 5.3091 9.2404
Zr 1.3259 -0.6027 6.9527
Zr -1.6245 11.5381 4.9226
Ni 1.3396 7.6611 7.6294
Ni -1.6382 3.2742 4.2458
Ni -3.2500 9.1716 4.6576
Ni 2.9514 1.7637 7.2176
Ni 0.6224 2.3708 3.8780
Ni -0.9209 8.5646 7.9972
Ni 1.6567 2.6789 9.1011
Ni -1.9552 8.2565 2.7741
Ni 1.1420 5.5104 6.2512
Ni -1.4405 5.4250 5.6241
Ni -1.7235 -0.4952 2.2386
Ni 1.4249 11.4306 9.6367
P 2.6115 7.2514 9.4143
P -2.9101 3.6839 2.4610
P -2.1725 9.6097 6.5599
P 1.8740 1.3257 5.3153
P 0.3086 4.5019 4.4468
P -0.6071 6.4335 7.4284
P 2.3196 0.5520 9.0803
P -2.6182 10.3834 2.7950
P 2.3863 4.0009 7.4462
P -2.6848 6.9345 4.4290
P -1.1766 1.0358 3.8546
P 0.8781 9.8995 8.0206

=====

Record 3
8
Lattice="4.5579 0.0000 0.0000 0.0000 4.5579 0.0000 -2.2790 -2.2790 4.6655" Properties=species:S:1:pos:R:3 comment="HfMgH2, PBEsol geometry, DFT meta-GGA SCAN" energy_ev_per_atom=-18.80 pbc="T T T"
H 1.0369 3.4185 1.1664
H 3.5210 1.1395 1.1664
H -1.1395 -1.2421 3.4992
H 1.1395 1.2421 3.4992
Mg 2.2790 0.0000 2.3328
Mg 2.2790 2.2790 0.0000
Hf 0.0000 2.2790 2.3328
Hf 0.0000 0.0000 0.0000

=====

Number 3 is which compound? HfMgH2